w.
Below is a relaxed structure of SnSO2, with properties calculated at the PBE-GGA level.

CIF file:
```
data_SnSO2
_space_group_name_H-M_alt 'P 1'
_space_group_IT_number 1
_cell_length_a 5.936
_cell_length_b 5.936
_cell_length_c 6.069
_cell_angle_alpha 60.72
_cell_angle_beta 60.72
_cell_angle_gamma 90.00
loop_
_space_group_symop_operation_xyz
'x,y,z'
loop_
_atom_site_label
_atom_site_type_symbol
_atom_site_fract_x
_atom_site_fract_y
_atom_site_fract_z
_atom_site_occupancy
S1 S 0.250 0.750 0.500 1
S2 S 0.500 0.500 0.000 1
O1 O 0.755 0.125 0.250 1
O2 O 0.995 0.625 0.250 1
O3 O 0.875 0.005 0.750 1
O4 O 0.375 0.245 0.750 1
Sn1 Sn 0.750 0.250 0.500 1
Sn2 Sn 0.000 0.000 0.000 1
```


x.
Below is a relaxed structure of SnSO2, with properties calculated at the PBE-GGA level.

CIF file:
```
data_SnSO2
_space_group_name_H-M_alt 'P 1'
_space_group_IT_number 1
_cell_length_a 4.160
_cell_length_b 4.160
_cell_length_c 4.160
_cell_angle_alpha 60.00
_cell_angle_beta 60.00
_cell_angle_gamma 60.00
loop_
_space_group_symop_operation_xyz
'x,y,z'
loop_
_atom_site_label
_atom_site_type_symbol
_atom_site_fract_x
_atom_site_fract_y
_atom_site_fract_z
_atom_site_occupancy
Sn1 Sn 0.500 0.500 0.500 1
O1 O 0.750 0.750 0.750 1
O2 O 0.250 0.250 0.250 1
S1 S 0.000 0.000 0.000 1
```


Stability, highest: w


w.
Below is a relaxed structure of SnSO2, with properties calculated at the PBE-GGA level.

CIF file:
```
data_SnSO2
_space_group_name_H-M_alt 'P 1'
_space_group_IT_number 1
_cell_length_a 6.429
_cell_length_b 6.429
_cell_length_c 6.429
_cell_angle_alpha 30.82
_cell_angle_beta 30.82
_cell_angle_gamma 30.82
loop_
_space_group_symop_operation_xyz
'x,y,z'
loop_
_atom_site_label
_atom_site_type_symbol
_atom_site_fract_x
_atom_site_fract_y
_atom_site_fract_z
_atom_site_occupancy
S1 S 0.000 0.000 0.000 1
Sn1 Sn 0.500 0.500 0.500 1
O1 O 0.888 0.888 0.888 1
O2 O 0.112 0.112 0.112 1
```


x.
Below is a relaxed structure of SnSO2, with properties calculated at the PBE-GGA level.

CIF file:
```
data_SnSO2
_space_group_name_H-M_alt 'P 1'
_space_group_IT_number 1
_cell_length_a 6.921
_cell_length_b 6.921
_cell_length_c 6.921
_cell_angle_alpha 27.20
_cell_angle_beta 27.20
_cell_angle_gamma 27.20
loop_
_space_group_symop_operation_xyz
'x,y,z'
loop_
_atom_site_label
_atom_site_type_symbol
_atom_site_fract_x
_atom_site_fract_y
_atom_site_fract_z
_atom_site_occupancy
Sn1 Sn 0.000 0.000 0.000 1
O1 O 0.118 0.118 0.118 1
O2 O 0.882 0.882 0.882 1
S1 S 0.500 0.500 0.500 1
```


Stability, highest: w


w.
Below is a relaxed structure of Sn2SO, with properties calculated at the PBE-GGA level.

CIF file:
```
data_Sn2SO
_space_group_name_H-M_alt 'P 1'
_space_group_IT_number 1
_cell_length_a 4.754
_cell_length_b 4.754
_cell_length_c 4.754
_cell_angle_alpha 60.00
_cell_angle_beta 60.00
_cell_angle_gamma 60.00
loop_
_space_group_symop_operation_xyz
'x,y,z'
loop_
_atom_site_label
_atom_site_type_symbol
_atom_site_fract_x
_atom_site_fract_y
_atom_site_fract_z
_atom_site_occupancy
O1 O 0.000 0.000 0.000 1
S1 S 0.500 0.500 0.500 1
Sn1 Sn 0.750 0.750 0.750 1
Sn2 Sn 0.250 0.250 0.250 1
```


x.
Below is a relaxed structure of Sn2SO, with properties calculated at the PBE-GGA level.

CIF file:
```
data_Sn2SO
_space_group_name_H-M_alt 'P 1'
_space_group_IT_number 1
_cell_length_a 5.533
_cell_length_b 5.533
_cell_length_c 7.707
_cell_angle_alpha 68.96
_cell_angle_beta 68.96
_cell_angle_gamma 90.00
loop_
_space_group_symop_operation_xyz
'x,y,z'
loop_
_atom_site_label
_atom_site_type_symbol
_atom_site_fract_x
_atom_site_fract_y
_atom_site_fract_z
_atom_site_occupancy
O1 O 0.250 0.750 0.500 1
O2 O 0.500 0.500 0.000 1
Sn1 Sn 0.375 0.449 0.750 1
Sn2 Sn 0.875 0.801 0.750 1
Sn3 Sn 0.551 0.125 0.250 1
Sn4 Sn 0.199 0.625 0.250 1
S1 S 0.000 0.000 0.000 1
S2 S 0.750 0.250 0.500 1
```


Stability, highest: x


w.
Below is a relaxed structure of SrS3O, with properties calculated at the PBE-GGA level.

CIF file:
```
data_SrS3O
_space_group_name_H-M_alt 'P 1'
_space_group_IT_number 1
_cell_length_a 4.449
_cell_length_b 4.449
_cell_length_c 4.449
_cell_angle_alpha 90.00
_cell_angle_beta 90.00
_cell_angle_gamma 90.00
loop_
_space_group_symop_operation_xyz
'x,y,z'
loop_
_atom_site_label
_atom_site_type_symbol
_atom_site_fract_x
_atom_site_fract_y
_atom_site_fract_z
_atom_site_occupancy
O1 O 0.000 0.000 0.000 1
S1 S 0.500 0.000 0.000 1
S2 S 0.000 0.000 0.500 1
S3 S 0.000 0.500 0.000 1
Sr1 Sr 0.500 0.500 0.500 1
```


x.
Below is a relaxed structure of SrS3O, with properties calculated at the PBE-GGA level.

CIF file:
```
data_SrS3O
_space_group_name_H-M_alt 'P 1'
_space_group_IT_number 1
_cell_length_a 5.749
_cell_length_b 5.749
_cell_length_c 5.749
_cell_angle_alpha 90.00
_cell_angle_beta 90.00
_cell_angle_gamma 90.00
loop_
_space_group_symop_operation_xyz
'x,y,z'
loop_
_atom_site_label
_atom_site_type_symbol
_atom_site_fract_x
_atom_site_fract_y
_atom_site_fract_z
_atom_site_occupancy
S1 S 0.000 0.000 0.500 1
S2 S 0.500 0.000 0.000 1
S3 S 0.000 0.500 0.000 1
O1 O 0.500 0.500 0.500 1
Sr1 Sr 0.000 0.000 0.000 1
```


Stability, highest: w


w.
Below is a relaxed structure of TaS2O2, with properties calculated at the PBE-GGA level.

CIF file:
```
data_TaS2O2
_space_group_name_H-M_alt 'P 1'
_space_group_IT_number 1
_cell_length_a 2.914
_cell_length_b 2.914
_cell_length_c 9.522
_cell_angle_alpha 81.20
_cell_angle_beta 81.20
_cell_angle_gamma 90.00
loop_
_space_group_symop_operation_xyz
'x,y,z'
loop_
_atom_site_label
_atom_site_type_symbol
_atom_site_fract_x
_atom_site_fract_y
_atom_site_fract_z
_atom_site_occupancy
Ta1 Ta 0.000 0.000 0.000 1
O1 O 0.250 0.750 0.500 1
O2 O 0.750 0.250 0.500 1
S1 S 0.417 0.417 0.166 1
S2 S 0.583 0.583 0.834 1
```


x.
Below is a relaxed structure of TaS2O2, with properties calculated at the PBE-GGA level.

CIF file:
```
data_TaS2O2
_space_group_name_H-M_alt 'P 1'
_space_group_IT_number 1
_cell_length_a 6.126
_cell_length_b 6.126
_cell_length_c 3.501
_cell_angle_alpha 90.00
_cell_angle_beta 90.00
_cell_angle_gamma 90.00
loop_
_space_group_symop_operation_xyz
'x,y,z'
loop_
_atom_site_label
_atom_site_type_symbol
_atom_site_fract_x
_atom_site_fract_y
_atom_site_fract_z
_atom_site_occupancy
O1 O 0.273 0.227 0.500 1
O2 O 0.773 0.273 0.500 1
O3 O 0.727 0.773 0.500 1
O4 O 0.227 0.727 0.500 1
S1 S 0.886 0.614 0.000 1
S2 S 0.614 0.114 0.000 1
S3 S 0.114 0.386 0.000 1
S4 S 0.386 0.886 0.000 1
Ta1 Ta 0.000 0.000 0.000 1
Ta2 Ta 0.500 0.500 0.000 1
```


Stability, highest: x


w.
Below is a relaxed structure of TaS3O, with properties calculated at the PBE-GGA level.

CIF file:
```
data_TaS3O
_space_group_name_H-M_alt 'P 1'
_space_group_IT_number 1
_cell_length_a 4.724
_cell_length_b 4.724
_cell_length_c 4.724
_cell_angle_alpha 90.00
_cell_angle_beta 90.00
_cell_angle_gamma 90.00
loop_
_space_group_symop_operation_xyz
'x,y,z'
loop_
_atom_site_label
_atom_site_type_symbol
_atom_site_fract_x
_atom_site_fract_y
_atom_site_fract_z
_atom_site_occupancy
O1 O 0.500 0.500 0.500 1
S1 S 0.000 0.000 0.500 1
S2 S 0.500 0.000 0.000 1
S3 S 0.000 0.500 0.000 1
Ta1 Ta 0.000 0.000 0.000 1
```


x.
Below is a relaxed structure of TaS3O, with properties calculated at the PBE-GGA level.

CIF file:
```
data_TaS3O
_space_group_name_H-M_alt 'P 1'
_space_group_IT_number 1
_cell_length_a 4.144
_cell_length_b 4.144
_cell_length_c 4.144
_cell_angle_alpha 90.00
_cell_angle_beta 90.00
_cell_angle_gamma 90.00
loop_
_space_group_symop_operation_xyz
'x,y,z'
loop_
_atom_site_label
_atom_site_type_symbol
_atom_site_fract_x
_atom_site_fract_y
_atom_site_fract_z
_atom_site_occupancy
Ta1 Ta 0.500 0.500 0.500 1
O1 O 0.000 0.000 0.000 1
S1 S 0.000 0.000 0.500 1
S2 S 0.000 0.500 0.000 1
S3 S 0.500 0.000 0.000 1
```


Stability, highest: w